# Pr2Si4RuPt3 PBE-GGA optimized geometry
# * SG: P-4m2, No. 115
# * theoretical density: 10.04 g/cm3
# * DOS(E_F): 2.979 states/eV/f.u.
# * formation energy (no corrections): -1.07 eV/atom
data_Pr2Si4RuPt3
_cell_length_a 4.2258
_cell_length_b 4.2258
_cell_length_c 10.0117
_cell_angle_alpha 90.00
_cell_angle_beta 90.00
_cell_angle_gamma 90.00
_space_group_name_H-M_alt 'P 1'
_space_group_IT_number 1
loop_
_space_group_symop_operation_xyz
'x,y,z'
loop_
_atom_site_label
_atom_site_type_symbol
_atom_site_fract_x
_atom_site_fract_y
_atom_site_fract_z
Si1 Si 0.0000 0.0000 0.0000
Si2 Si 0.5000 0.5000 0.0000
Si3 Si 0.0000 0.5000 0.3721
Si4 Si 0.5000 0.0000 0.6279
Pt1 Pt 0.5000 0.0000 0.8760
Pt2 Pt 0.0000 0.0000 0.5000
Pt3 Pt 0.0000 0.5000 0.1240
Pr1 Pr 0.0000 0.5000 0.7559
Pr2 Pr 0.5000 0.0000 0.2441
Ru1 Ru 0.5000 0.5000 0.5000

# Li2ReAu PBE-GGA optimized geometry
# * SG: I4/mmm, No. 139
# * energy above the lowest structure with this stoichiometry: 0.459 eV per atom
# * theoretical density: 10.64 g/cm3
# * DOS(E_F): 2.997 states/eV/f.u.
# * energy relative to the elements: 468 meV per atom
data_Li2ReAu
_cell_length_a 5.0606
_cell_length_b 5.0606
_cell_length_c 5.0606
_cell_angle_alpha 135.87
_cell_angle_beta 135.87
_cell_angle_gamma 64.18
_space_group_name_H-M_alt 'P 1'
_space_group_IT_number 1
loop_
_space_group_symop_operation_xyz
'x,y,z'
loop_
_atom_site_label
_atom_site_type_symbol
_atom_site_fract_x
_atom_site_fract_y
_atom_site_fract_z
Li1 Li 0.0000 0.0000 0.0000
Li2 Li 0.5000 0.5000 0.0000
Re1 Re 0.2500 0.7500 0.5000
Au1 Au 0.7500 0.2500 0.5000

# LaCo2Hg PBE-GGA optimized geometry
# * SG: P4mm, No. 99
# * theoretical density: 10.07 g/cm3
# * DOS(E_F): 4.813 states/eV/f.u.
# * energy relative to the elements: 115 meV per atom
data_LaCo2Hg
_cell_length_a 3.1995
_cell_length_b 3.1995
_cell_length_c 7.3679
_cell_angle_alpha 90.00
_cell_angle_beta 90.00
_cell_angle_gamma 90.00
_space_group_name_H-M_alt 'P 1'
_space_group_IT_number 1
loop_
_space_group_symop_operation_xyz
'x,y,z'
loop_
_atom_site_label
_atom_site_type_symbol
_atom_site_fract_x
_atom_site_fract_y
_atom_site_fract_z
La1 La 0.5000 0.5000 0.7891
Co1 Co 0.5000 0.5000 0.1965
Co2 Co 0.0000 0.0000 0.0717
Hg1 Hg 0.0000 0.0000 0.4427

# NbFeW3 PBE-GGA optimized geometry
# * SG: Pm-3m, No. 221
# * energy above the lowest structure with this stoichiometry: 0.000 eV per atom
# * theoretical density: 13.07 g/cm3
# * DOS(E_F): 3.871 states/eV/f.u.
# * energy relative to the elements: 1180 meV per atom
data_NbFeW3
_cell_length_a 4.4638
_cell_length_b 4.4638
_cell_length_c 4.4638
_cell_angle_alpha 90.00
_cell_angle_beta 90.00
_cell_angle_gamma 90.00
_space_group_name_H-M_alt 'P 1'
_space_group_IT_number 1
loop_
_space_group_symop_operation_xyz
'x,y,z'
loop_
_atom_site_label
_atom_site_type_symbol
_atom_site_fract_x
_atom_site_fract_y
_atom_site_fract_z
W1 W 0.5000 0.0000 0.0000
W2 W 0.0000 0.5000 0.0000
W3 W 0.0000 0.0000 0.5000
Nb1 Nb 0.5000 0.5000 0.5000
Fe1 Fe 0.0000 0.0000 0.0000

# SiNiIr2 PBE-GGA optimized geometry
# * SG: Pmmm, No. 47
# * theoretical density: 14.46 g/cm3
# * DOS(E_F): 3.919 states/eV/f.u.
# * formation energy (no corrections): -0.05 eV/atom
data_SiNiIr2
_cell_length_a 2.7225
_cell_length_b 4.6454
_cell_length_c 4.2777
_cell_angle_alpha 90.00
_cell_angle_beta 90.00
_cell_angle_gamma 90.00
_space_group_name_H-M_alt 'P 1'
_space_group_IT_number 1
loop_
_space_group_symop_operation_xyz
'x,y,z'
loop_
_atom_site_label
_atom_site_type_symbol
_atom_site_fract_x
_atom_site_fract_y
_atom_site_fract_z
Ir1 Ir 0.5000 0.5000 0.0000
Ir2 Ir 0.0000 0.0000 0.0000
Ni1 Ni 0.5000 0.0000 0.5000
Si1 Si 0.0000 0.5000 0.5000

# ReNiN2 PBE-GGA optimized geometry
# * SG: R-3m, No. 166
# * energy above the lowest structure with this stoichiometry: 0.040 eV per atom
# * theoretical density: 10.55 g/cm3
# * DOS(E_F): 1.111 states/eV/f.u.
# * formation energy (no corrections): 0.22 eV/atom
data_ReNiN2
_cell_length_a 6.4284
_cell_length_b 6.4284
_cell_length_c 6.4284
_cell_angle_alpha 25.38
_cell_angle_beta 25.38
_cell_angle_gamma 25.38
_space_group_name_H-M_alt 'P 1'
_space_group_IT_number 1
loop_
_space_group_symop_operation_xyz
'x,y,z'
loop_
_atom_site_label
_atom_site_type_symbol
_atom_site_fract_x
_atom_site_fract_y
_atom_site_fract_z
Re1 Re 0.5000 0.5000 0.5000
N1 N 0.9024 0.9024 0.9024
N2 N 0.0976 0.0976 0.0976
Ni1 Ni 0.0000 0.0000 0.0000

# Tl2GaSbN PBE-GGA optimized geometry
# * SG: P4/mmm, No. 123
# * theoretical density: 7.62 g/cm3
# * DOS(E_F): 2.909 states/eV/f.u.
# * formation energy (no corrections): 0.61 eV/atom
data_Tl2GaSbN
_cell_length_a 5.6278
_cell_length_b 4.2251
_cell_length_c 5.6278
_cell_angle_alpha 90.00
_cell_angle_beta 90.00
_cell_angle_gamma 90.00
_space_group_name_H-M_alt 'P 1'
_space_group_IT_number 1
loop_
_space_group_symop_operation_xyz
'x,y,z'
loop_
_atom_site_label
_atom_site_type_symbol
_atom_site_fract_x
_atom_site_fract_y
_atom_site_fract_z
Sb1 Sb 0.0000 0.5000 0.0000
Ga1 Ga 0.5000 0.5000 0.5000
Tl1 Tl 0.5000 0.0000 0.0000
Tl2 Tl 0.0000 0.0000 0.5000
N1 N 0.0000 0.0000 0.0000

# In2OsCl PBE-GGA optimized geometry
# * SG: Imm2, No. 44
# * energy above the lowest structure with this stoichiometry: 0.204 eV per atom
# * theoretical density: 8.15 g/cm3
# * DOS(E_F): 2.064 states/eV/f.u.
# * formation energy (no corrections): 0.23 eV/atom
data_In2OsCl
_cell_length_a 8.3848
_cell_length_b 8.3848
_cell_length_c 8.3848
_cell_angle_alpha 157.12
_cell_angle_beta 156.10
_cell_angle_gamma 33.32
_space_group_name_H-M_alt 'P 1'
_space_group_IT_number 1
loop_
_space_group_symop_operation_xyz
'x,y,z'
loop_
_atom_site_label
_atom_site_type_symbol
_atom_site_fract_x
_atom_site_fract_y
_atom_site_fract_z
Cl1 Cl 0.7040 0.2040 0.5000
In1 In 0.0272 0.0272 0.0000
In2 In 0.3189 0.8189 0.5000
Os1 Os 0.4499 0.4499 0.0000

# Mn2ZnReN PBE-GGA optimized geometry
# * SG: P4/mmm, No. 123
# * theoretical density: 10.48 g/cm3
# * DOS(E_F): 3.997 states/eV/f.u.
# * formation energy (no corrections): -0.02 eV/atom
data_Mn2ZnReN
_cell_length_a 3.8414
_cell_length_b 3.8414
_cell_length_c 4.0308
_cell_angle_alpha 90.00
_cell_angle_beta 90.00
_cell_angle_gamma 90.00
_space_group_name_H-M_alt 'P 1'
_space_group_IT_number 1
loop_
_space_group_symop_operation_xyz
'x,y,z'
loop_
_atom_site_label
_atom_site_type_symbol
_atom_site_fract_x
_atom_site_fract_y
_atom_site_fract_z
Zn1 Zn 0.5000 0.5000 0.5000
Re1 Re 0.0000 0.0000 0.5000
Mn1 Mn 0.0000 0.5000 0.0000
Mn2 Mn 0.5000 0.0000 0.0000
N1 N 0.0000 0.0000 0.0000

# KBe2In PBE-GGA optimized geometry
# * SG: C2/m, No. 12
# * theoretical density: 3.36 g/cm3
# * DOS(E_F): 1.464 states/eV/f.u.
# * energy relative to the elements: 1023 meV per atom
data_KBe2In
_cell_length_a 6.5093
_cell_length_b 5.7172
_cell_length_c 2.8567
_cell_angle_alpha 79.93
_cell_angle_beta 82.44
_cell_angle_gamma 122.44
_space_group_name_H-M_alt 'P 1'
_space_group_IT_number 1
loop_
_space_group_symop_operation_xyz
'x,y,z'
loop_
_atom_site_label
_atom_site_type_symbol
_atom_site_fract_x
_atom_site_fract_y
_atom_site_fract_z
Be1 Be 0.0000 0.0000 0.0000
Be2 Be 0.5000 0.0000 0.5000
K1 K 0.5000 0.5000 0.0000
In1 In 0.0000 0.5000 0.5000

# RbNa2AlF6 PBE-GGA optimized geometry
# * SG: P2_1/c, No. 14
# * energy above the lowest structure with this stoichiometry: 0.000 eV per atom
# * theoretical density: 3.10 g/cm3
# * DOS(E_F): 0.000 states/eV/f.u.
# * formation energy (no corrections): -3.11 eV/atom
data_RbNa2AlF6
_cell_length_a 5.8862
_cell_length_b 5.8701
_cell_length_c 8.4541
_cell_angle_alpha 90.00
_cell_angle_beta 91.06
_cell_angle_gamma 90.00
_space_group_name_H-M_alt 'P 1'
_space_group_IT_number 1
loop_
_space_group_symop_operation_xyz
'x,y,z'
loop_
_atom_site_label
_atom_site_type_symbol
_atom_site_fract_x
_atom_site_fract_y
_atom_site_fract_z
Rb1 Rb 0.5000 0.0000 0.0000
Rb2 Rb 0.0000 0.5000 0.5000
F1 F 0.9122 0.7859 0.9406
F2 F 0.7486 0.8766 0.6040
F3 F 0.2486 0.6234 0.1040
F4 F 0.7514 0.3766 0.8960
F5 F 0.1627 0.4577 0.8161
F6 F 0.3373 0.9577 0.6839
F7 F 0.8373 0.5423 0.1839
F8 F 0.5878 0.2859 0.5594
F9 F 0.0878 0.2141 0.0594
F10 F 0.4122 0.7141 0.4406
F11 F 0.2514 0.1234 0.3960
F12 F 0.6627 0.0423 0.3161
Al1 Al 0.0000 0.5000 0.0000
Al2 Al 0.5000 0.0000 0.5000
Na1 Na 0.0078 0.9292 0.2245
Na2 Na 0.5078 0.5708 0.7245
Na3 Na 0.4922 0.4292 0.2755
Na4 Na 0.9922 0.0708 0.7755

# MnBe2Au PBE-GGA optimized geometry
# * SG: Imm2, No. 44
# * theoretical density: 9.35 g/cm3
# * DOS(E_F): 1.672 states/eV/f.u.
# * energy relative to the elements: 35 meV per atom
data_MnBe2Au
_cell_length_a 4.7699
_cell_length_b 4.7699
_cell_length_c 3.8812
_cell_angle_alpha 65.95
_cell_angle_beta 65.95
_cell_angle_gamma 36.98
_space_group_name_H-M_alt 'P 1'
_space_group_IT_number 1
loop_
_space_group_symop_operation_xyz
'x,y,z'
loop_
_atom_site_label
_atom_site_type_symbol
_atom_site_fract_x
_atom_site_fract_y
_atom_site_fract_z
Be1 Be 0.2697 0.2697 0.2303
Be2 Be 0.9860 0.9860 0.0140
Au1 Au 0.7359 0.7359 0.7641
Mn1 Mn 0.5084 0.5084 0.4916